A relaxed KTlCl2 crystal. Source: the Alexandria database, functional GGA-PBE.

a = 4.559 Å, b = 4.560 Å, c = 6.437 Å
α = 90.00°, β = 90.00°, γ = 90.00°
Atoms (fractional coordinates):
Tl1 0.500 0.500 0.875
K1 0.000 0.000 0.375
Cl1 0.000 0.000 0.876
Cl2 0.500 0.500 0.374

## Properties
E_form (uncorrected) = -1.4914 eV/atom
Energy above the lowest structure with this stoichiometry = 0.0 meV/atom

---

A relaxed CuAgC3 crystal. Source: the Alexandria database, functional GGA-PBE.

a = 4.121 Å, b = 4.121 Å, c = 4.121 Å
α = 90.00°, β = 90.00°, γ = 90.00°
Atoms (fractional coordinates):
C1 0.000 0.500 0.000
C2 0.000 0.000 0.500
C3 0.500 0.000 0.000
Cu1 0.500 0.500 0.500
Ag1 0.000 0.000 0.000

## Properties
Energy above the lowest structure with this stoichiometry = 670.2 meV/atom

---

A relaxed Rb3Bi3SbSe8 crystal. Source: the Alexandria database, functional GGA-PBE.

a = 8.496 Å, b = 8.494 Å, c = 9.626 Å
α = 116.20°, β = 90.00°, γ = 120.01°
Atoms (fractional coordinates):
Rb1 0.000 0.000 0.000
Rb2 0.000 0.500 0.000
Rb3 0.500 0.500 0.000
Bi1 0.500 0.000 0.500
Bi2 0.500 0.500 0.500
Bi3 0.000 0.500 0.500
Sb1 0.000 0.000 0.500
Se1 0.266 0.531 0.297
Se2 0.734 0.469 0.703
Se3 0.776 0.552 0.306
Se4 0.224 0.448 0.694
Se5 0.776 0.029 0.306
Se6 0.224 0.971 0.694
Se7 0.253 0.029 0.306
Se8 0.747 0.971 0.694

## Properties
E_form (uncorrected) = -0.6589 eV/atom

---

A relaxed LuZrTlZn crystal. Source: the Alexandria database, functional GGA-PBE.

a = 5.004 Å, b = 5.004 Å, c = 5.004 Å
α = 60.00°, β = 60.00°, γ = 60.00°
Atoms (fractional coordinates):
Tl1 0.500 0.500 0.500
Lu1 0.750 0.750 0.750
Zn1 0.000 0.000 0.000
Zr1 0.250 0.250 0.250

## Properties
E_tot = -4.3233 eV/atom

---

A relaxed Pu2Si4NiOs3 crystal. Source: the Alexandria database, functional GGA-PBE.

a = 4.071 Å, b = 4.071 Å, c = 10.060 Å
α = 90.00°, β = 90.00°, γ = 90.00°
Each line ends with the local moment (μB).
Atoms (fractional coordinates):
Pu1 0.500 0.000 0.246  5.03
Pu2 0.000 0.500 0.754  5.03
Si1 0.500 0.500 0.000  0.01
Si2 0.000 0.000 0.000  0.01
Si3 0.500 0.000 0.624  -0.01
Si4 0.000 0.500 0.376  -0.01
Ni1 0.500 0.500 0.500  0.08
Os1 0.000 0.000 0.500  -0.04
Os2 0.500 0.000 0.865  -0.09
Os3 0.000 0.500 0.135  -0.09

## Properties
E_form (uncorrected) = -0.4740 eV/atom

---

A relaxed NaPm2Si2 crystal. Source: the Alexandria database, functional GGA-PBE.

a = 5.725 Å, b = 8.311 Å, c = 6.095 Å
α = 104.45°, β = 118.01°, γ = 90.00°
Atoms (fractional coordinates):
Na1 0.838 0.750 0.000
Na2 0.162 0.250 0.000
Pm1 0.810 0.146 0.291
Pm2 0.482 0.646 0.291
Pm3 0.190 0.854 0.709
Pm4 0.518 0.354 0.709
Si1 0.003 0.498 0.694
Si2 0.309 0.002 0.306
Si3 0.997 0.502 0.306
Si4 0.691 0.998 0.694

## Properties
E_form (uncorrected) = -0.4241 eV/atom

---

A relaxed ZnPRh3 crystal. Source: the Alexandria database, functional GGA-PBE.

a = 4.347 Å, b = 4.347 Å, c = 4.347 Å
α = 90.00°, β = 90.00°, γ = 90.00°
Atoms (fractional coordinates):
P1 0.000 0.000 0.000
Zn1 0.500 0.500 0.500
Rh1 0.000 0.500 0.000
Rh2 0.000 0.000 0.500
Rh3 0.500 0.000 0.000

## Properties
Energy above the lowest structure with this stoichiometry = 0.0 meV/atom

---

A relaxed BaLiCd crystal. Source: the Alexandria database, functional GGA-PBE.

a = 6.557 Å, b = 6.557 Å, c = 4.042 Å
α = 72.05°, β = 72.04°, γ = 35.91°
Atoms (fractional coordinates):
Cd1 0.302 0.302 0.698
Ba1 0.992 0.992 0.008
Li1 0.705 0.705 0.295

## Properties
Energy above the lowest structure with this stoichiometry = 42.1 meV/atom

---

A relaxed K5HgSe3 crystal. Source: the Alexandria database, functional GGA-PBE.

a = 7.718 Å, b = 9.688 Å, c = 10.451 Å
α = 105.70°, β = 90.00°, γ = 113.47°
Atoms (fractional coordinates):
K1 0.335 0.000 0.750
K2 0.585 0.666 0.911
K3 0.918 0.331 0.077
K4 0.415 0.334 0.089
K5 0.587 0.669 0.423
K6 0.665 0.000 0.250
K7 0.081 0.666 0.411
K8 0.919 0.334 0.589
K9 0.413 0.331 0.577
K10 0.082 0.669 0.923
Hg1 0.861 0.000 0.750
Hg2 0.139 0.000 0.250
Se1 0.000 0.000 0.000
Se2 0.674 0.346 0.337
Se3 0.000 0.000 0.500
Se4 0.326 0.654 0.663
Se5 0.672 0.346 0.837
Se6 0.328 0.654 0.163

## Properties
E_form (uncorrected) = -0.9392 eV/atom

---

A relaxed Sr2Pm4As3O2 crystal. Source: the Alexandria database, functional GGA-PBE.

a = 4.722 Å, b = 4.722 Å, c = 12.729 Å
α = 100.69°, β = 100.69°, γ = 90.00°
Atoms (fractional coordinates):
Sr1 0.302 0.302 0.603
Sr2 0.698 0.698 0.397
Pm1 0.422 0.922 0.844
Pm2 0.922 0.422 0.844
Pm3 0.078 0.578 0.156
Pm4 0.578 0.078 0.156
As1 0.000 0.000 0.000
As2 0.169 0.169 0.338
As3 0.831 0.831 0.662
O1 0.403 0.403 0.805
O2 0.597 0.597 0.195

## Properties
E_form (uncorrected) = -1.8038 eV/atom

---

A relaxed Pm2Ge3Pd crystal. Source: the Alexandria database, functional GGA-PBE.

a = 5.973 Å, b = 5.973 Å, c = 8.507 Å
α = 110.17°, β = 110.17°, γ = 91.03°
Atoms (fractional coordinates):
Pm1 0.250 0.750 0.500
Pm2 0.754 0.754 0.000
Pm3 0.750 0.250 0.500
Pm4 0.246 0.246 0.000
Ge1 0.337 0.831 0.168
Ge2 0.169 0.663 0.832
Ge3 0.663 0.169 0.832
Ge4 0.831 0.337 0.168
Ge5 0.168 0.168 0.336
Ge6 0.832 0.832 0.664
Pd1 0.667 0.667 0.334
Pd2 0.333 0.333 0.666

## Properties
E_tot = -5.6058 eV/atom

---

A relaxed CsPS4 crystal. Source: the Alexandria database, functional GGA-PBE.

a = 6.699 Å, b = 7.706 Å, c = 8.302 Å
α = 117.65°, β = 101.68°, γ = 90.00°
Atoms (fractional coordinates):
Cs1 0.801 0.791 0.581
Cs2 0.199 0.209 0.419
P1 0.232 0.566 0.132
P2 0.768 0.434 0.868
S1 0.259 0.706 0.411
S2 0.529 0.222 0.868
S3 0.000 0.308 0.000
S4 0.471 0.354 0.132
S5 0.741 0.294 0.589
S6 0.471 0.778 0.132
S7 0.000 0.692 0.000
S8 0.529 0.646 0.868

## Properties
E_form (uncorrected) = -0.4204 eV/atom
Energy above the lowest structure with this stoichiometry = 0.0 meV/atom

---

A relaxed AcPm2Dy7 crystal. Source: the Alexandria database, functional GGA-PBE.

a = 5.667 Å, b = 9.214 Å, c = 9.214 Å
α = 123.35°, β = 90.00°, γ = 90.00°
Atoms (fractional coordinates):
Ac1 0.000 0.000 0.000
Pm1 0.500 0.702 0.298
Pm2 0.500 0.298 0.702
Dy1 0.000 0.775 0.225
Dy2 0.000 0.225 0.775
Dy3 0.500 0.061 0.295
Dy4 0.500 0.939 0.705
Dy5 0.500 0.295 0.061
Dy6 0.500 0.705 0.939
Dy7 0.500 0.500 0.500

## Properties
Energy above the lowest structure with this stoichiometry = 357.2 meV/atom

---

A relaxed KTl4Bi crystal. Source: the Alexandria database, functional GGA-PBE.

a = 6.582 Å, b = 6.582 Å, c = 6.582 Å
α = 60.00°, β = 60.00°, γ = 60.00°
Atoms (fractional coordinates):
K1 0.250 0.250 0.250
Tl1 0.626 0.626 0.122
Tl2 0.626 0.122 0.626
Tl3 0.626 0.626 0.626
Tl4 0.122 0.626 0.626
Bi1 0.000 0.000 0.000

## Properties
Energy above the lowest structure with this stoichiometry = 55.0 meV/atom